1.
Compound: FeIr3
Source: the Alexandria database
Functional: PBEsol
Structure: relaxed

a b c (Å): 4.268 5.387 5.387
angles (deg): 120.00 90.00 90.00
Each line ends with the local moment (μB).
Sites, in units of the cell vectors:
Ir (0.750, 0.170, 0.830)  0.07
Ir (0.250, 0.830, 0.170)  0.07
Ir (0.250, 0.830, 0.660)  0.07
Ir (0.250, 0.340, 0.170)  0.07
Ir (0.750, 0.660, 0.830)  0.07
Ir (0.750, 0.170, 0.340)  0.07
Fe (0.250, 0.333, 0.667)  2.36
Fe (0.750, 0.667, 0.333)  2.36

Output
E_tot: -9.627 eV/atom

***

2.
Compound: Fe8Ir
Source: the Alexandria database
Functional: PBEsol
Structure: relaxed

a b c (Å): 3.512 5.499 5.499
angles (deg): 84.15 71.38 71.38
Each line ends with the local moment (μB).
Sites, in units of the cell vectors:
Fe (0.000, 0.661, 0.339)  -1.17
Fe (0.672, 0.000, 0.656)  1.29
Fe (0.672, 0.656, 0.000)  1.29
Fe (0.339, 0.661, 0.661)  -1.17
Fe (0.328, 0.344, 0.000)  1.29
Fe (0.328, 0.000, 0.344)  1.29
Fe (0.000, 0.339, 0.661)  -1.17
Fe (0.661, 0.339, 0.339)  -1.17
Ir (0.000, 0.000, 0.000)  0.10

Output
E_tot: -9.009 eV/atom

***

3.
Compound: FeIr
Source: the Alexandria database
Functional: PBEsol
Structure: relaxed

a b c (Å): 2.648 2.648 4.458
angles (deg): 72.72 72.72 60.00
Each line ends with the local moment (μB).
Sites, in units of the cell vectors:
Ir (0.500, 0.500, 0.500)  0.06
Fe (0.000, 0.000, 0.000)  2.25

Output
E_tot: -9.379 eV/atom

***

4.
Compound: FeIr3
Source: the Alexandria database
Functional: PBEsol
Structure: relaxed

a b c (Å): 2.699 4.294 4.646
angles (deg): 90.00 90.00 90.00
Each line ends with the local moment (μB).
Sites, in units of the cell vectors:
Ir (0.500, 0.000, 0.498)  0.05
Ir (0.000, 0.500, 0.329)  0.04
Ir (0.500, 0.500, 0.836)  0.12
Fe (0.000, 0.000, 0.003)  2.44

Output
E_tot: -9.621 eV/atom

***

5.
Compound: FeIr4
Source: the Alexandria database
Functional: PBEsol
Structure: relaxed

a b c (Å): 3.795 4.630 4.630
angles (deg): 80.33 65.81 65.81
Each line ends with the local moment (μB).
Sites, in units of the cell vectors:
Ir (0.798, 0.805, 0.599)  0.05
Ir (0.603, 0.599, 0.195)  0.05
Ir (0.202, 0.195, 0.401)  0.05
Ir (0.397, 0.401, 0.805)  0.05
Fe (0.000, 0.000, 0.000)  2.40

Output
E_tot: -9.684 eV/atom

***

6.
Compound: FeIr3
Source: the Alexandria database
Functional: PBEsol
Structure: relaxed

a b c (Å): 2.682 4.604 4.604
angles (deg): 109.19 90.00 90.00
Each line ends with the local moment (μB).
Sites, in units of the cell vectors:
Ir (0.500, 0.500, 0.000)  0.03
Ir (0.000, 0.500, 0.500)  0.03
Ir (0.500, 0.000, 0.500)  0.03
Fe (0.000, 0.000, 0.000)  2.18

Output
E_tot: -9.609 eV/atom

***

7.
Compound: FeIr3
Source: the Alexandria database
Functional: PBEsol
Structure: relaxed

a b c (Å): 2.694 2.694 8.479
angles (deg): 90.00 90.00 120.00
Each line ends with the local moment (μB).
Sites, in units of the cell vectors:
Ir (0.333, 0.667, 0.763)  -0.04
Ir (0.000, 0.000, 0.500)  -0.17
Ir (0.333, 0.667, 0.237)  -0.04
Fe (0.000, 0.000, 0.000)  1.91

Output
E_tot: -9.599 eV/atom

***

8.
Compound: FeIr
Source: the Alexandria database
Functional: PBEsol
Structure: relaxed

a b c (Å): 2.660 4.891 6.151
angles (deg): 103.83 90.00 105.78
Each line ends with the local moment (μB).
Sites, in units of the cell vectors:
Fe (0.390, 0.780, 0.274)  1.41
Fe (0.000, 0.000, 0.003)  2.19
Fe (0.331, 0.662, 0.668)  -1.87
Ir (0.727, 0.455, 0.944)  0.00
Ir (0.672, 0.344, 0.336)  0.00
Ir (0.046, 0.093, 0.608)  -0.03

Output
E_tot: -9.427 eV/atom

***

Density values (in g/cm³) by entry order: 19.6; 11.1; 16.2; 19.5; 20.2; 19.6; 19.7; 16.6.
Formation energy values (in eV/atom) by entry order: -0.018; 0.050; 0.014; -0.012; -0.033; 0.000; 0.010; -0.033.